# Al2MoSeF (GGA+U, optimized geometry)
data_Al2MoSeF
_cell_length_a 4.165
_cell_length_b 4.165
_cell_length_c 5.573
_cell_angle_alpha 90.00
_cell_angle_beta 90.00
_cell_angle_gamma 90.00
_symmetry_space_group_name_H-M 'P 4/m m m'
_symmetry_Int_Tables_number 123
_symmetry_space_group_name_Hall '-P 4 2'
loop_
_atom_site_label
_atom_site_type_symbol
_atom_site_fract_x
_atom_site_fract_y
_atom_site_fract_z
_atom_site_occupancy
Al1 Al 0.000 0.500 0.000 1
Mo1 Mo 0.000 0.000 0.500 1
Se1 Se 0.500 0.500 0.500 1
F1 F 0.500 0.500 0.000 1
# * Fermi-level density of states: 0.6226 states/eV per atom
# * calculated total energy: -4.007 eV per atom